Entry 1:
6
Lattice="1.3808 -3.1851 2.9204 -3.7048 -2.5948 -0.3490 3.5522 1.4147 -2.4415" Properties=species:S:1:pos:R:3 comment="GaCuB4 (PBE, optimized geometry)" relative_energy_mev_per_atom=14 final_energy_ev_per_atom=-5.235 crystal_system=orthorhombic pbc="T T T"
B 1.0664 -2.0239 0.7976
B -1.4851 -1.7503 -0.8275
B 2.7132 -2.6149 0.9575
B 0.1618 -2.3413 -0.6676
Cu -1.1620 -2.8900 1.2857
Ga 0.0000 0.0000 0.0000

***

Entry 2:
4
Lattice="0.0000 2.8069 2.8069 2.8069 0.0000 2.8069 2.8069 2.8069 0.0000" Properties=species:S:1:pos:R:3 comment="GaCuB2 (PBE, optimized geometry)" final_energy_ev_per_atom=-3.715 crystal_system=cubic pbc="T T T"
B 0.0000 0.0000 0.0000
B 4.2103 4.2103 4.2103
Cu 1.4034 1.4034 1.4034
Ga 2.8069 2.8069 2.8069

***

Entry 3:
3
Lattice="0.0000 2.6019 2.6019 2.6019 0.0000 2.6019 2.6019 2.6019 0.0000" Properties=species:S:1:pos:R:3 comment="GaCuB (PBE, optimized geometry)" final_energy_ev_per_atom=-4.213 crystal_system=cubic pbc="T T T"
B 0.0000 0.0000 0.0000
Cu 1.3009 1.3009 1.3009
Ga 3.9028 3.9028 3.9028

***

Entry 4:
8
Lattice="-2.5990 2.5990 4.9264 2.5990 -2.5990 4.9264 2.5990 2.5990 -4.9264" Properties=species:S:1:pos:R:3 comment="GaCu2BS4 (PBE, optimized geometry)" final_energy_ev_per_atom=-4.663 crystal_system=tetragonal pbc="T T T"
B 2.5990 0.0000 2.4632
Cu 0.0000 0.0000 4.9264
Cu 0.0000 2.5990 2.4632
Ga 0.0000 0.0000 0.0000
S 1.4478 -1.1262 3.5685
S 1.1262 1.4478 6.2843
S 1.4728 1.1512 1.3579
S 1.1512 3.7252 -1.3579

***

Entry 5:
8
Lattice="6.4597 1.0071 0.6211 0.9516 3.7832 5.2829 -3.4258 -5.5536 -0.7406" Properties=species:S:1:pos:R:3 comment="GaCu2BSe4 (PBE, optimized geometry)" final_energy_ev_per_atom=-4.178 crystal_system=tetragonal pbc="T T T"
B 3.7056 2.3952 2.9520
Cu 0.0000 0.0000 0.0000
Cu 0.6157 0.3124 3.7472
Ga 3.3697 -1.0757 1.4163
Se 1.6407 2.4455 3.3555
Se 4.6933 1.5042 4.5830
Se 0.9595 -1.1897 1.9088
Se 0.6774 -4.2865 0.4797

***

Entry 6:
3
Lattice="3.6473 0.1477 1.9900 0.4560 -1.9361 3.6507 2.3637 -3.4099 0.2636" Properties=species:S:1:pos:R:3 comment="GdCuB (PBE, optimized geometry)" final_energy_ev_per_atom=-4.883 crystal_system=cubic pbc="T T T"
B 0.0000 0.0000 0.0000
Cu 1.6168 -1.2996 1.4761
Gd 4.8503 -3.8988 4.4282

***

Entry 7:
6
Lattice="-1.5773 2.6513 3.8916 1.5773 -2.6513 3.8916 1.5773 2.6513 -3.8916" Properties=species:S:1:pos:R:3 comment="GdCuB4 (PBE, optimized geometry)" relative_energy_mev_per_atom=37 final_energy_ev_per_atom=-5.896 crystal_system=orthorhombic pbc="T T T"
B 0.0000 1.7057 2.0153
B 1.5773 -0.9455 1.8763
B 0.0000 3.5968 2.0153
B 1.5773 0.9455 1.8763
Cu 0.0000 0.0000 3.8916
Gd 0.0000 0.0000 0.0000

***

Entry 8:
6
Lattice="-3.1554 -0.0911 -0.5566 2.0643 -0.6294 -2.3700 -0.1013 -6.4983 1.6374" Properties=species:S:1:pos:R:3 comment="GdCuB4 (PBE, optimized geometry)" relative_energy_mev_per_atom=0 final_energy_ev_per_atom=-5.933 crystal_system=hexagonal pbc="T T T"
B -1.4446 -2.1381 -0.6905
B 0.2953 -2.3175 -1.2950
B -1.4877 -4.9012 0.0058
B 0.2522 -5.0806 -0.5987
Cu -0.0506 -3.2491 0.8187
Gd 0.0000 0.0000 0.0000

***

Entry 9:
8
Lattice="-2.4108 -2.4032 -0.8721 1.8330 -0.7893 -2.8922 3.9056 -5.3458 3.9344" Properties=species:S:1:pos:R:3 comment="GdHoCu2B2N2 (PBE, optimized geometry)" final_energy_ev_per_atom=-6.720 crystal_system=tetragonal pbc="T T T"
B 0.9821 -3.3359 -0.6018
B 2.6300 -3.5997 2.6493
Cu 0.7503 -3.8785 1.5341
Cu 2.8723 -3.0716 0.5241
Gd 0.6486 -0.8878 0.6534
Ho 2.9754 -6.0642 1.4062
N 0.2472 -2.3299 -1.3421
N 3.3611 -4.6005 3.3858

***

Entry 10:
10
Lattice="-1.7811 1.7811 10.2868 1.7811 -1.7811 10.2868 1.7811 1.7811 -10.2868" Properties=species:S:1:pos:R:3 comment="Sm2GdCu2B2N3 (PBE, optimized geometry)" final_energy_ev_per_atom=-6.979 crystal_system=tetragonal pbc="T T T"
B 0.0000 0.0000 3.8068
B 0.0000 0.0000 16.7668
Cu 0.0000 1.7811 5.1434
Cu 1.7811 0.0000 5.1434
Gd 0.0000 0.0000 0.0000
N 0.0000 0.0000 2.3719
N 0.0000 0.0000 10.2868
N 0.0000 0.0000 18.2017
Sm 0.0000 0.0000 7.7786
Sm 0.0000 0.0000 12.7949

***

Entry 11:
10
Lattice="-1.7594 1.7594 10.2376 1.7594 -1.7594 10.2376 1.7594 1.7594 -10.2376" Properties=species:S:1:pos:R:3 comment="TbGd2Cu2B2N3 (PBE, optimized geometry)" final_energy_ev_per_atom=-7.009 crystal_system=tetragonal pbc="T T T"
B 0.0000 0.0000 3.7825
B 0.0000 0.0000 16.6927
Cu 0.0000 1.7594 5.1188
Cu 1.7594 0.0000 5.1188
Gd 0.0000 0.0000 7.7520
Gd 0.0000 0.0000 12.7233
N 0.0000 0.0000 2.3455
N 0.0000 0.0000 10.2376
N 0.0000 0.0000 18.1298
Tb 0.0000 0.0000 0.0000

***

Entry 12:
10
Lattice="6.8814 -0.2692 8.0018 3.1901 -3.2147 9.5365 -3.9074 -0.2120 -9.8053" Properties=species:S:1:pos:R:3 comment="Tb2GdCu2B2N3 (PBE, optimized geometry)" final_energy_ev_per_atom=-7.007 crystal_system=tetragonal pbc="T T T"
B 1.8627 -0.6443 3.2436
B 8.2088 -2.8395 14.2947
Cu 4.0049 -1.1115 3.4829
Cu 2.1592 -2.5843 4.2502
Gd 0.0000 0.0000 0.0000
N 1.1574 -0.4004 2.0155
N 5.0357 -1.7419 8.7692
N 8.9141 -3.0835 15.5228
Tb 3.8125 -1.3188 6.6390
Tb 6.2590 -2.1651 10.8993

***

Copy entry 6 word for word.
3
Lattice="3.6473 0.1477 1.9900 0.4560 -1.9361 3.6507 2.3637 -3.4099 0.2636" Properties=species:S:1:pos:R:3 comment="GdCuB (PBE, optimized geometry)" final_energy_ev_per_atom=-4.883 crystal_system=cubic pbc="T T T"
B 0.0000 0.0000 0.0000
Cu 1.6168 -1.2996 1.4761
Gd 4.8503 -3.8988 4.4282